[1]
A relaxed structure of Na4Au. Source: Alexandria, functional PBE.

Cell: 5.6782 5.6782 5.6782 Å, 90.00 90.00 90.00°
Space group Pm-3m (No. 221)
Unique sites:
Na  0.0000  0.0000  0.0000
Na  0.0000  0.5000  0.5000
Au  0.5000  0.5000  0.5000

Properties
Fermi-level density of states: 0.23 states/eV/atom
magnetization: 0.0 μB/cell
formation enthalpy at 0 K: -0.08 eV/atom
energy above the most stable polymorph in this dataset: 65 meV per atom

=====

[2]
A relaxed structure of BeAuS2Cl. Source: Alexandria, functional PBE.

Cell: 4.8631 4.8631 4.8598 Å, 90.00 90.00 90.00°
Space group P4/mmm (No. 123)
Unique sites:
Be  0.0000  0.0000  0.0000
Au  0.5000  0.5000  0.5000
S  0.0000  0.5000  0.5000
Cl  0.5000  0.5000  0.0000

Properties
formation energy from raw total energies: 450 kJ/mol of formula units
Fermi-level density of states: 0.68 states/eV/atom
magnetization: 0.0 μB/cell
energy above the most stable polymorph in this dataset: 580 meV per atom

=====

[3]
A relaxed structure of TlIn2BiBr. Source: Alexandria, functional PBE.

Cell: 6.1998 6.1998 5.6621 Å, 90.00 90.00 90.00°
Space group P4/mmm (No. 123)
Unique sites:
Tl  0.0000  0.0000  0.0000
In  0.0000  0.5000  0.0000
Bi  0.0000  0.0000  0.5000
Br  0.5000  0.5000  0.5000

Properties
formation energy from raw total energies: 145 kJ/mol of formula units
Fermi-level density of states: 0.75 states/eV/atom
magnetization: 0.1 μB/cell

=====

[4]
A relaxed structure of La3Dy2TmSe6. Source: Alexandria, functional PBE.

Cell: 7.1523 12.4295 7.3815 Å, 90.00 108.93 90.00°
Space group C2/m (No. 12)
Unique sites:
La  0.0000  0.0000  0.0000
La  0.0000  0.3315  0.0000
Dy  0.0000  0.1666  0.5000
Tm  0.0000  0.5000  0.5000
Se  0.2407  0.3351  0.7282
Se  0.2469  0.0000  0.7300

Properties
formation energy from raw total energies: -2166 kJ/mol of formula units
Fermi-level density of states: 0.52 states/eV/atom
magnetization: 0.0 μB/cell